[1]
! PBE Hf2GaAg, relaxed; values from VASP
&SYSTEM
  ibrav = 0, nat = 4, ntyp = 3
/
ATOMIC_SPECIES
Ag 107.87 Ag.upf
Hf 178.49 Hf.upf
Ga 69.72 Ga.upf
CELL_PARAMETERS angstrom
-0.931 -0.841 2.828
0.659 -2.828 1.068
8.093 2.072 4.974
ATOMIC_POSITIONS crystal
Ag 0.000 0.000 0.000
Hf 0.248 0.248 0.256
Hf 0.752 0.752 0.744
Ga 0.500 0.500 0.500
! Symmetry ... No. 166
! Crystal system ... trigonal
! Formation enthalpy at 0 K ... -0.0196 eV/atom

---

[2]
! PBE K4Ho3NpO8, relaxed; values from VASP
&SYSTEM
  ibrav = 0, nat = 16, ntyp = 4
/
ATOMIC_SPECIES
O 16.00 O.upf
K 39.10 K.upf
Ho 164.93 Ho.upf
Np 237.00 Np.upf
CELL_PARAMETERS angstrom
-5.208 -4.633 -0.424
4.913 -5.373 -1.623
0.963 3.642 5.880
ATOMIC_POSITIONS crystal
O 0.231 0.686 0.462
O 0.728 0.684 0.456
O 0.231 0.686 0.955
O 0.769 0.314 0.045
O 0.724 0.686 0.955
O 0.276 0.314 0.045
O 0.769 0.314 0.538
O 0.272 0.316 0.544
K 0.000 0.000 0.000
K 0.500 0.000 0.000
K 0.000 0.000 0.500
K 0.500 0.000 0.500
Ho 0.500 0.500 0.000
Ho 0.500 0.500 0.500
Ho 0.000 0.500 0.500
Np 0.000 0.500 0.000
! Symmetry ... No. 166
! Crystal system ... trigonal
! Uncorrected formation energy ... -2.6203 eV/atom

---

[3]
! PBE KYAs2, relaxed; values from VASP
&SYSTEM
  ibrav = 0, nat = 4, ntyp = 3
/
ATOMIC_SPECIES
As 74.92 As.upf
K 39.10 K.upf
Y 88.91 Y.upf
CELL_PARAMETERS angstrom
-0.816 -1.646 -4.319
2.246 -3.429 -2.285
-4.219 -6.010 1.085
ATOMIC_POSITIONS crystal
As 0.513 0.513 0.426
As 0.987 0.987 0.074
K 0.750 0.750 0.750
Y 0.250 0.250 0.250
! Symmetry ... No. 12
! Crystal system ... monoclinic
! ΔE to the lowest computed polymorph ... 169.7 meV per atom
! Formation enthalpy at 0 K ... -0.6432 eV/atom

---

[4]
! PBE AcAgHgAs, relaxed; values from VASP
&SYSTEM
  ibrav = 0, nat = 4, ntyp = 4
/
ATOMIC_SPECIES
Ag 107.87 Ag.upf
Hg 200.59 Hg.upf
As 74.92 As.upf
Ac 227.00 Ac.upf
CELL_PARAMETERS angstrom
-0.316 -5.254 0.181
4.360 -2.879 0.667
0.814 -2.532 4.546
ATOMIC_POSITIONS crystal
Ag 0.000 0.000 0.000
Hg 0.500 0.500 0.500
As 0.250 0.250 0.250
Ac 0.750 0.750 0.750
! Symmetry ... No. 216
! Crystal system ... cubic
! Formation enthalpy at 0 K ... -0.2994 eV/atom

---

Per-record magnetization, μB/f.u.: 0.00, 4.00, 0.00, 0.00
Per-record volume, Å³/atom: 19.804, 16.565, 30.794, 25.829